This record from Alexandria via LeMat-Bulk describes a relaxed Sr2LaSi crystal. The functional is GGA-PBE.

Structure (CIF):
```
data_Sr2LaSi
_chemical_formula_sum 'Sr4 La2 Si2'
_cell_length_a 10.270
_cell_length_b 4.270
_cell_length_c 8.158
_cell_angle_alpha 90.00
_cell_angle_beta 110.10
_cell_angle_gamma 90.00
_symmetry_space_group_name_H-M 'C 1 m 1'
_symmetry_Int_Tables_number 8
loop_
_symmetry_equiv_pos_as_xyz
'x,y,z'
'x,-y,z'
'x+1/2,y+1/2,z'
'x+1/2,-y+1/2,z'
loop_
_atom_site_label
_atom_site_type_symbol
_atom_site_fract_x
_atom_site_fract_y
_atom_site_fract_z
Sr1 Sr 0.000 0.000 0.000
Sr2 Sr 0.170 0.000 0.620
La1 La 0.352 0.000 0.310
Si1 Si 0.145 0.500 0.312
```

Output
**Magnetic moment**: 0.00 μB/f.u.

***

This record from Alexandria via LeMat-Bulk describes a relaxed NdSc3Sb3 crystal. The functional is GGA-PBE.

Structure (CIF):
```
data_NdSc3Sb3
_chemical_formula_sum 'Nd6 Sc18 Sb18'
_cell_length_a 8.8068
_cell_length_b 8.8068
_cell_length_c 17.6825
_cell_angle_alpha 90.00
_cell_angle_beta 90.00
_cell_angle_gamma 120.00
_symmetry_space_group_name_H-M 'R -3'
_symmetry_Int_Tables_number 148
_symmetry_space_group_name_Hall '-R 3'
loop_
_atom_site_label
_atom_site_type_symbol
_atom_site_fract_x
_atom_site_fract_y
_atom_site_fract_z
Nd1 Nd 0.0000 0.0000 0.1648
Sc1 Sc 0.0005 0.2715 0.5815
Sb1 Sb 0.0032 0.3715 0.4140
```

Output
**Magnetic moment**: 0.00 μB/f.u.

***

This record from Alexandria via LeMat-Bulk describes a relaxed Ca4SmU3N8 crystal. The functional is GGA-PBE.

Structure (CIF):
```
data_Ca4SmU3N8
_chemical_formula_sum 'Ca12 Sm3 U9 N24'
_cell_length_a 7.0296
_cell_length_b 7.0296
_cell_length_c 17.1362
_cell_angle_alpha 90.00
_cell_angle_beta 90.00
_cell_angle_gamma 120.00
_symmetry_space_group_name_H-M 'R -3 m'
_symmetry_Int_Tables_number 166
_symmetry_space_group_name_Hall '-R 3 2"'
loop_
_atom_site_label
_atom_site_type_symbol
_atom_site_fract_x
_atom_site_fract_y
_atom_site_fract_z
Ca1 Ca 0.0000 0.0000 0.0000
Ca2 Ca 0.0000 0.5000 0.0000
Sm1 Sm 0.0000 0.0000 0.5000
U1 U 0.0000 0.5000 0.5000
N1 N 0.0000 0.0000 0.2388
N2 N 0.0208 0.5104 0.7620
```

Output
**Magnetic moment**: 4.76 μB/f.u.

***

Formation energy from raw total energies (computed, eV per atom): -0.11, -0.78, -1.31
Total DFT energy (no corrections) (computed, Ry/atom): -0.2603, -0.4366, -0.6166